A plane-wave DFT calculation with PBE-GGA was carried out for a geometry-optimized Gd3Zn3Ga structure.

Its spin magnetization is 0.2 μB/cell. The calculated volume comes out at 22.40 Å³/atom. For the total energy, the calculation gives -3.335 eV per atom. The calculation puts the density at 7.811 g/cm3.

It has space group Cmcm (No. 63), with a = 4.283 Å, b = 10.816 Å, c = 13.541 Å, α = 90.00°, β = 90.00° and γ = 90.00°. The distinct sites, in fractional coordinates, are Gd at (0.000, 0.000, 0.250), Gd at (0.000, 0.288, 0.103), Zn at (0.000, 0.285, 0.750), Zn at (0.000, 0.426, 0.595) and Ga at (0.000, 0.000, 0.000).